An optimized crystal structure of Si2SeCl, computed with GGA-PBEsol.

Properties
The raw formation energy is -3.71 kcal/mol of atoms. For the energy above the most stable polymorph in this dataset, the calculation gives 0.000 eV/atom. Its total energy is -36.0 eV per cell.

abc: 4.731 3.482 11.785
angles: 90.00 90.00 90.00
Space group Amm2 (No. 38)
One atom of each set of equivalent atoms:
Si (0.000, 0.000, 0.000) (multiplicity 2)
Si (0.500, 0.000, 0.035) (multiplicity 2)
Se (0.000, 0.000, 0.369) (multiplicity 2)
Cl (0.500, 0.000, 0.666) (multiplicity 2)

---

An optimized crystal structure of Si2SeCl, computed with GGA-PBEsol.

Properties
The raw formation energy is 1.08 kcal/mol of atoms. For the energy above the most stable polymorph in this dataset, the calculation gives 0.207 eV/atom. Its total energy is -34.3 eV per cell.

abc: 3.438 6.175 8.252
angles: 90.00 90.00 90.00
Space group Cmm2 (No. 35)
One atom of each set of equivalent atoms:
Si (0.000, 0.000, 0.000) (multiplicity 2)
Si (0.000, 0.500, 0.211) (multiplicity 2)
Se (0.000, 0.500, 0.809) (multiplicity 2)
Cl (0.000, 0.000, 0.416) (multiplicity 2)

---

An optimized crystal structure of Si4SeCl, computed with GGA-PBEsol.

Properties
The raw formation energy is 11.00 kcal/mol of atoms. Its total energy is -103.9 eV per cell.

abc: 7.401 7.401 7.401
angles: 90.00 90.00 90.00
Space group F-43m (No. 216)
One atom of each set of equivalent atoms:
Si (0.124, 0.124, 0.124) (multiplicity 16)
Se (0.000, 0.000, 0.500) (multiplicity 4)
Cl (0.250, 0.250, 0.750) (multiplicity 4)